Density functional theory data (PBE-GGA) for an optimized crystal structure of ScGaBr2Cl.

Structure (POSCAR):
```
ScGaBr2Cl
1.0
5.415 0.000 0.000
0.000 5.415 0.000
0.000 0.000 4.998
Sc Ga Br Cl
1 1 2 1
direct
0.000 0.000 0.000
0.500 0.500 0.500
0.000 0.500 0.000
0.500 0.000 0.000
0.000 0.000 0.500
```

Computed properties:
Density of states at the Fermi level (states/eV/atom): 0.5580
Formation energy (no corrections) (eV per formula unit): -5.47
Uncorrected energy (eV for the cell shown): -20.0